1.
This record from Alexandria via LeMat-Bulk describes Fe2AsPt after structural relaxation. The functional is PBE.

The structure in POSCAR format:
```
Fe2AsPt
1.0
-2.4286 2.0204 1.8679
0.3424 -2.2501 2.8791
5.6407 4.9760 5.5572
As Fe Pt
2 4 2
direct
0.5000 0.5000 0.0000
0.2500 0.7500 0.5000
0.6057 0.1250 0.2500
0.1443 0.6250 0.2500
0.3750 0.3943 0.7500
0.8750 0.8557 0.7500
0.0000 0.0000 0.0000
0.7500 0.2500 0.5000
```

Energy of formation (eV/atom): 0.20
Crystal system: tetragonal
Density of states at the Fermi level (states/eV per atom): 0.830
VASP energy (Ry per atom): -0.4927

=====

2.
This record from Alexandria via LeMat-Bulk describes LiLaHoSn after structural relaxation. The functional is PBE.

The structure in POSCAR format:
```
LiLaHoSn
1.0
5.3538 0.0000 0.0000
2.6769 4.6365 0.0000
2.6769 1.5455 4.3713
Li Ho Sn La
1 1 1 1
direct
0.7500 0.7500 0.7500
0.0000 0.0000 0.0000
0.2500 0.2500 0.2500
0.5000 0.5000 0.5000
```

Energy of formation (eV/atom): -0.42
Crystal system: cubic
Density of states at the Fermi level (states/eV per atom): 0.675
VASP energy (Ry per atom): -0.3143

=====

3.
This record from Alexandria via LeMat-Bulk describes LiAg2Bi after structural relaxation. The functional is PBE.

The structure in POSCAR format:
```
LiAg2Bi
1.0
4.1635 0.0000 0.0000
0.0000 4.1635 0.0000
2.0817 2.0817 10.1563
Bi Ag Li
2 4 2
direct
0.0000 0.0000 0.0000
0.7500 0.2500 0.5000
0.6175 0.1250 0.2500
0.1325 0.6250 0.2500
0.3750 0.3825 0.7500
0.8750 0.8675 0.7500
0.5000 0.5000 0.0000
0.2500 0.7500 0.5000
```

Energy of formation (eV/atom): 0.02
Crystal system: tetragonal
Density of states at the Fermi level (states/eV per atom): 0.399
VASP energy (Ry per atom): -0.2096

=====

4.
This record from Alexandria via LeMat-Bulk describes PaZn5 after structural relaxation. The functional is PBE.

The structure in POSCAR format:
```
PaZn5
1.0
-2.2309 -0.2580 -3.8246
0.6726 -4.3273 -0.1004
-5.0921 1.3589 2.8786
Zn Pa
5 1
direct
0.5000 0.8238 0.6477
0.0000 0.6851 0.3702
0.5000 0.5000 0.0000
0.0000 0.3149 0.6298
0.5000 0.1762 0.3523
0.0000 0.0000 0.0000
```

Energy of formation (eV/atom): 0.05
Crystal system: orthorhombic
Density of states at the Fermi level (states/eV per atom): 0.908
VASP energy (Ry per atom): -0.1905

=====

5.
This record from Alexandria via LeMat-Bulk describes Pu2In3Hg4 after structural relaxation. The functional is PBE.

The structure in POSCAR format:
```
Pu2In3Hg4
1.0
6.1931 0.0000 0.0000
0.0000 9.8805 0.0000
-3.0966 0.0000 7.7330
Pu In Hg
4 6 8
direct
0.1057 0.5418 0.2113
0.8943 0.4582 0.7887
0.3943 0.0418 0.7887
0.6057 0.9582 0.2113
0.0000 0.0000 0.0000
0.5000 0.5000 0.0000
0.5234 0.7500 0.5468
0.9766 0.2500 0.4532
0.4766 0.2500 0.4532
0.0234 0.7500 0.5468
0.7178 0.7500 0.9356
0.7822 0.2500 0.0644
0.2822 0.2500 0.0644
0.2178 0.7500 0.9356
0.1872 0.9756 0.3743
0.8128 0.0244 0.6257
0.3128 0.4756 0.6257
0.6872 0.5244 0.3743
```

Energy of formation (eV/atom): -0.05
Crystal system: orthorhombic
Density of states at the Fermi level (states/eV per atom): 3.029
VASP energy (Ry per atom): -0.3145

=====

6.
This record from Alexandria via LeMat-Bulk describes LiPtCl4 after structural relaxation. The functional is PBE.

The structure in POSCAR format:
```
LiPtCl4
1.0
0.0000 4.1113 4.1113
4.1113 0.0000 4.1113
4.1113 4.1113 0.0000
Li Pt Cl
1 1 4
direct
0.7500 0.7500 0.7500
0.0000 0.0000 0.0000
0.8756 0.3748 0.3748
0.3748 0.3748 0.8756
0.3748 0.8756 0.3748
0.3748 0.3748 0.3748
```

Crystal system: cubic
Density of states at the Fermi level (states/eV per atom): 1.284
VASP energy (Ry per atom): -0.1409
E_form (uncorrected) (eV per formula unit): 3.84

=====

7.
This record from Alexandria via LeMat-Bulk describes NdThPd2 after structural relaxation. The functional is PBE.

The structure in POSCAR format:
```
NdThPd2
1.0
3.6570 0.0000 0.0000
0.0000 3.6570 0.0000
0.0000 0.0000 7.2482
Nd Pd Th
1 2 1
direct
0.5000 0.5000 0.5000
0.0000 0.0000 0.7762
0.0000 0.0000 0.2238
0.5000 0.5000 0.0000
```

Energy of formation (eV/atom): -0.69
Crystal system: tetragonal
Density of states at the Fermi level (states/eV per atom): 1.003
VASP energy (Ry per atom): -0.4658

=====

8.
This record from Alexandria via LeMat-Bulk describes TeHI2Br after structural relaxation. The functional is PBE.

The structure in POSCAR format:
```
TeHI2Br
1.0
5.8354 0.0000 0.0000
0.0000 5.8354 0.0000
0.0000 0.0000 3.9019
I H Te Br
2 1 1 1
direct
0.0000 0.5000 0.0000
0.5000 0.0000 0.0000
0.0000 0.0000 0.0000
0.0000 0.0000 0.5000
0.5000 0.5000 0.5000
```

Crystal system: tetragonal
Density of states at the Fermi level (states/eV per atom): 1.262
VASP energy (Ry per atom): -0.1293

=====

9.
This record from Alexandria via LeMat-Bulk describes Ca3Tl4Pb4 after structural relaxation. The functional is PBE.

The structure in POSCAR format:
```
Ca3Tl4Pb4
1.0
3.6901 -0.0440 -0.6245
-0.0535 4.8981 -0.6079
-1.7702 -0.0973 19.0308
Ca Tl Pb
3 4 4
direct
0.5318 0.6348 0.2715
0.4681 0.3653 0.7285
0.0001 0.0000 0.0000
0.0109 0.0892 0.1807
0.3105 0.2738 0.5477
0.6894 0.7262 0.4522
0.9890 0.9108 0.8193
0.5605 0.5438 0.0903
0.4397 0.4563 0.9097
0.8884 0.8205 0.6404
0.1115 0.1795 0.3596
```

Energy of formation (eV/atom): -0.24
Crystal system: triclinic
Density of states at the Fermi level (states/eV per atom): 0.525
VASP energy (Ry per atom): -0.2198

=====

10.
This record from Alexandria via LeMat-Bulk describes HoZrHgRu after structural relaxation. The functional is PBE.

The structure in POSCAR format:
```
HoZrHgRu
1.0
4.9085 0.0000 0.0000
2.4542 4.2508 0.0000
2.4542 1.4169 4.0077
Ru Hg Zr Ho
1 1 1 1
direct
0.0000 0.0000 0.0000
0.5000 0.5000 0.5000
0.7500 0.7500 0.7500
0.2500 0.2500 0.2500
```

Energy of formation (eV/atom): -0.28
Crystal system: cubic
Density of states at the Fermi level (states/eV per atom): 0.829
VASP energy (Ry per atom): -0.4374

=====

11.
This record from Alexandria via LeMat-Bulk describes Ho2Ga9Pd6 after structural relaxation. The functional is PBE.

The structure in POSCAR format:
```
Ho2Ga9Pd6
1.0
5.3369 0.0000 0.0000
-2.6685 4.6219 0.0000
0.0000 0.0000 12.8147
Ho Ga Pd
2 9 6
direct
0.0000 0.0000 0.6520
0.0000 0.0000 0.3480
0.5000 0.0000 0.8387
0.0000 0.5000 0.8387
0.5000 0.5000 0.8387
0.5000 0.0000 0.1613
0.0000 0.5000 0.1613
0.5000 0.5000 0.1613
0.5000 0.0000 0.5000
0.0000 0.5000 0.5000
0.5000 0.5000 0.5000
0.3333 0.6667 0.0000
0.6667 0.3333 0.0000
0.3333 0.6667 0.6716
0.6667 0.3333 0.6716
0.6667 0.3333 0.3284
0.3333 0.6667 0.3284
```

Energy of formation (eV/atom): -0.55
Crystal system: hexagonal
Density of states at the Fermi level (states/eV per atom): 0.490
VASP energy (Ry per atom): -0.3324

=====

12.
This record from Alexandria via LeMat-Bulk describes PmAuS after structural relaxation. The functional is PBE.

The structure in POSCAR format:
```
PmAuS
1.0
4.6473 0.0000 0.0000
2.3237 4.0247 0.0000
2.3237 1.3416 8.4686
Pm S Au
2 2 2
direct
0.2637 0.2637 0.2090
0.7363 0.7363 0.7910
0.3766 0.3766 0.8702
0.6234 0.6234 0.1298
0.8597 0.8597 0.4209
0.1403 0.1403 0.5791
```

Crystal system: trigonal
Density of states at the Fermi level (states/eV per atom): 0.130
VASP energy (Ry per atom): -0.3918
E_form (uncorrected) (eV per formula unit): -3.84

=====

> Look up the density of states at the Fermi level of the second one.

0.675 states/eV per atom